The following is a DFT calculation (PBE) of SrCa3Si after structural relaxation.

Theoretical density: 1.96 Mg/m³
Spin magnetization: 1.819 μB/f.u.
Final energy: -13.77 eV per formula unit
Formation energy without anion corrections: -0.1317 eV per atom
Density of states at the Fermi level: 2.17 states/eV/cell

a b c (Å): 5.843 5.843 5.843
angles (deg): 90.00 90.00 90.00
Fractional coordinates of all 5 atoms:
Sr (0.000, 0.000, 0.000)
Ca (0.000, 0.500, 0.500)
Ca (0.500, 0.000, 0.500)
Ca (0.500, 0.500, 0.000)
Si (0.500, 0.500, 0.500)